# HfAsS2Cl

A geometry-optimized HfAsS2Cl structure (GGA-PBEsol, Alexandria).

Unit cell a=4.6529 b=4.6987 c=4.6987 alpha=90.00 beta=90.00 gamma=90.00
Closest atoms and distances in Å follow each position.
Sites, in units of the cell vectors:
Hf: 0.5000 0.5000 0.5000  8 S 3.31, 4 Cl 3.32
As: 0.0000 0.0000 0.0000  2 Cl 2.33, 4 S 2.35
S: 0.0000 0.5000 0.0000  2 As 2.35
S: 0.0000 0.0000 0.5000  2 As 2.35
Cl: 0.5000 0.0000 0.0000  2 As 2.33

Output
ΔE_f (raw)	0.317	eV/atom
symmetry	P4/mmm, No. 123

***

# TlHgBr3

A geometry-optimized TlHgBr3 structure (GGA-PBEsol, Alexandria).

Unit cell a=5.4559 b=5.4559 c=5.4559 alpha=90.00 beta=90.00 gamma=90.00
Closest atoms and distances in Å follow each position.
Sites, in units of the cell vectors:
Tl: 0.5000 0.5000 0.5000  12 Br 3.86
Hg: 0.0000 0.0000 0.0000  6 Br 2.73
Br: 0.5000 0.0000 0.0000  2 Hg 2.73
Br: 0.0000 0.0000 0.5000  2 Hg 2.73
Br: 0.0000 0.5000 0.0000  2 Hg 2.73

Output
ΔE_f (raw)	-0.480	eV/atom
symmetry	Pm-3m, No. 221

***

# Hf2SiMo3

A geometry-optimized Hf2SiMo3 structure (GGA-PBEsol, Alexandria).

Unit cell a=5.2138 b=5.2138 c=8.5321 alpha=90.00 beta=90.00 gamma=120.00
Closest atoms and distances in Å follow each position.
Sites, in units of the cell vectors:
Hf: 0.6667 0.3333 0.5636  9 Mo 3.05, 3 Si 3.06, 4 Hf 3.18-3.20
Hf: 0.3333 0.6667 0.4364  9 Mo 3.05, 3 Si 3.06, 4 Hf 3.18-3.20
Hf: 0.6667 0.3333 0.9364  9 Mo 3.05, 3 Si 3.06, 4 Hf 3.18-3.20
Hf: 0.3333 0.6667 0.0636  9 Mo 3.05, 3 Si 3.06, 4 Hf 3.18-3.20
Mo: 0.8295 0.6590 0.2500  4 Mo 2.55-2.67, 2 Si 2.63
Mo: 0.1705 0.8295 0.7500  4 Mo 2.55-2.67, 2 Si 2.63
Mo: 0.6590 0.8295 0.7500  4 Mo 2.55-2.67, 2 Si 2.63
Mo: 0.8295 0.1705 0.2500  4 Mo 2.55-2.67, 2 Si 2.63
Mo: 0.3410 0.1705 0.2500  4 Mo 2.55-2.67, 2 Si 2.63
Mo: 0.1705 0.3410 0.7500  4 Mo 2.55-2.67, 2 Si 2.63
Si: 0.0000 0.0000 0.5000  6 Mo 2.63
Si: 0.0000 0.0000 0.0000  6 Mo 2.63

Output
ΔE_f (raw)	-0.386	eV/atom
symmetry	P6_3/mmc, No. 194

***

# SrY2Be

A geometry-optimized SrY2Be structure (GGA-PBEsol, Alexandria).

Unit cell a=3.5503 b=3.5503 c=9.0280 alpha=90.00 beta=90.00 gamma=90.00
Closest atoms and distances in Å follow each position.
Sites, in units of the cell vectors:
Be: 0.5000 0.5000 0.4616  4 Y 2.87
Y: 0.0000 0.0000 0.3080  4 Be 2.87
Y: 0.5000 0.5000 0.0377  8 Y 3.50-3.55, 1 Be 3.83
Sr: 0.0000 0.0000 0.6927  4 Be 3.26, 1 Y 3.47, 4 Sr 3.55

Output
E_form	83	kJ/mol of formula units
symmetry	P4mm, No. 99

***

# Be3IrW

A geometry-optimized Be3IrW structure (GGA-PBEsol, Alexandria).

Unit cell a=4.0237 b=4.0237 c=4.0237 alpha=90.00 beta=90.00 gamma=90.00
Closest atoms and distances in Å follow each position.
Sites, in units of the cell vectors:
W: 0.5000 0.5000 0.5000  12 Be 2.85
Be: 0.5000 0.0000 0.0000  2 Ir 2.01
Be: 0.0000 0.0000 0.5000  2 Ir 2.01
Be: 0.0000 0.5000 0.0000  2 Ir 2.01
Ir: 0.0000 0.0000 0.0000  6 Be 2.01

Output
E_form	432	kJ/mol of formula units
symmetry	Pm-3m, No. 221

***

# Ag2SbSe

A geometry-optimized Ag2SbSe structure (GGA-PBEsol, Alexandria).

Unit cell a=4.8704 b=4.8704 c=4.8704 alpha=60.00 beta=60.00 gamma=60.00
Closest atoms and distances in Å follow each position.
Sites, in units of the cell vectors:
Ag: 0.7500 0.7500 0.7500  4 Ag 2.98, 4 Sb 2.98
Ag: 0.0000 0.0000 0.0000  4 Se 2.98, 4 Ag 2.98
Sb: 0.5000 0.5000 0.5000  4 Se 2.98, 4 Ag 2.98
Se: 0.2500 0.2500 0.2500  4 Sb 2.98, 4 Ag 2.98

Output
ΔE_f (raw)	0.294	eV/atom
symmetry	F-43m, No. 216

***

# SrTlNiRh2

A geometry-optimized SrTlNiRh2 structure (GGA-PBEsol, Alexandria).

Unit cell a=4.5906 b=4.5906 c=5.0494 alpha=90.00 beta=90.00 gamma=90.00
Closest atoms and distances in Å follow each position.
Sites, in units of the cell vectors:
Rh: 0.5000 0.0000 0.0000  2 Ni 2.30
Rh: 0.0000 0.5000 0.0000  2 Ni 2.30
Tl: 0.5000 0.5000 0.5000  4 Sr 3.25, 8 Rh 3.41
Sr: 0.0000 0.0000 0.5000  2 Ni 2.52
Ni: 0.0000 0.0000 0.0000  4 Rh 2.30, 2 Sr 2.52

Output
E_form	282	kJ/mol of formula units
symmetry	P4/mmm, No. 123

***

# ReRuAu2

A geometry-optimized ReRuAu2 structure (GGA-PBEsol, Alexandria).

Unit cell a=4.4235 b=4.4235 c=4.4235 alpha=60.00 beta=60.00 gamma=60.00
Closest atoms and distances in Å follow each position.
Sites, in units of the cell vectors:
Re: 0.0000 0.0000 0.0000  8 Au 2.71
Au: 0.2500 0.2500 0.2500  4 Re 2.71, 4 Ru 2.71
Au: 0.7500 0.7500 0.7500  4 Re 2.71, 4 Ru 2.71
Ru: 0.5000 0.5000 0.5000  8 Au 2.71

Output
E_form	262	kJ/mol of formula units
ΔE to the lowest computed polymorph	210	meV per atom
symmetry	Fm-3m, No. 225

***

# Ta4NiTe

A geometry-optimized Ta4NiTe structure (GGA-PBEsol, Alexandria).

Unit cell a=5.3952 b=5.3952 c=5.3952 alpha=60.00 beta=60.00 gamma=60.00
Closest atoms and distances in Å follow each position.
Sites, in units of the cell vectors:
Ta: 0.3744 0.3744 0.3744  6 Ta 2.68-2.71
Ta: 0.8769 0.3744 0.3744  6 Ta 2.68-2.71
Ta: 0.3744 0.3744 0.8769  6 Ta 2.68-2.71
Ta: 0.3744 0.8769 0.3744  6 Ta 2.68-2.71
Te: 0.7500 0.7500 0.7500  12 Ta 3.16, 4 Ni 3.30
Ni: 0.0000 0.0000 0.0000  12 Ta 3.16, 4 Te 3.30

Output
ΔE_f (raw)	0.666	eV/atom
symmetry	F-43m, No. 216

***

# Fe2SbRh

A geometry-optimized Fe2SbRh structure (GGA-PBEsol, Alexandria).

Unit cell a=3.7212 b=3.7214 c=4.8342 alpha=112.69 beta=112.64 gamma=90.00
Closest atoms and distances in Å follow each position.
Sites, in units of the cell vectors:
Fe: 0.7500 0.7500 0.5000  4 Fe 2.63, 4 Sb 2.75, 4 Rh 2.75
Fe: 0.2500 0.2500 0.5000  4 Fe 2.63, 4 Sb 2.75, 4 Rh 2.75
Sb: 0.0000 0.5000 0.0000  4 Rh 2.63, 8 Fe 2.75
Rh: 0.5000 0.0000 0.0000  4 Sb 2.63, 8 Fe 2.75

Output
ΔE_f (raw)	0.010	eV/atom
symmetry	I4/mmm, No. 139

***

# SrAs2SeI

A geometry-optimized SrAs2SeI structure (GGA-PBEsol, Alexandria).

Unit cell a=5.4439 b=5.7420 c=5.7420 alpha=90.00 beta=90.00 gamma=90.00
Closest atoms and distances in Å follow each position.
Sites, in units of the cell vectors:
Se: 0.5000 0.0000 0.0000  2 Sr 2.72
As: 0.0000 0.5000 0.0000  2 Sr 2.87
As: 0.0000 0.0000 0.5000  2 Sr 2.87
Sr: 0.0000 0.0000 0.0000  2 Se 2.72, 4 As 2.87
I: 0.5000 0.5000 0.5000  8 As 3.96, 4 Se 4.06

Output
ΔE_f (raw)	0.787	eV/atom
symmetry	P4/mmm, No. 123

***

# MnNi5

A geometry-optimized MnNi5 structure (GGA-PBEsol, Alexandria).

Unit cell a=4.0188 b=4.2811 c=4.2811 alpha=120.00 beta=90.00 gamma=90.00
Closest atoms and distances in Å follow each position.
Sites, in units of the cell vectors:
Ni: 0.5000 0.6667 0.3333  9 Ni 2.46-2.47, 3 Mn 2.47
Ni: 0.0000 0.0000 0.6589  10 Ni 2.44-2.53, 2 Mn 2.48
Ni: 0.0000 0.3411 0.3411  10 Ni 2.44-2.53, 2 Mn 2.48
Ni: 0.0000 0.6589 0.0000  10 Ni 2.44-2.53, 2 Mn 2.48
Ni: 0.5000 0.3333 0.6667  9 Ni 2.46-2.47, 3 Mn 2.47
Mn: 0.5000 0.0000 0.0000  12 Ni 2.47-2.48

Output
E_form	-5	kJ/mol of formula units
symmetry	P-62m, No. 189

***

# Mn2Se

A geometry-optimized Mn2Se structure (GGA-PBEsol, Alexandria).

Unit cell a=3.2049 b=3.2049 c=4.5817 alpha=110.47 beta=110.47 gamma=90.00
Closest atoms and distances in Å follow each position.
Sites, in units of the cell vectors:
Se: 0.0000 0.0000 0.0000  10 Mn 2.62-2.67
Mn: 0.3352 0.3352 0.6704  5 Se 2.62-2.67, 5 Mn 2.62-2.64
Mn: 0.6648 0.6648 0.3296  5 Se 2.62-2.67, 5 Mn 2.62-2.64

Output
ΔE_f (raw)	0.198	eV/atom
symmetry	I4/mmm, No. 139

***

# KNa2Au

A geometry-optimized KNa2Au structure (GGA-PBEsol, Alexandria).

Unit cell a=4.7420 b=4.7420 c=11.6811 alpha=101.71 beta=101.71 gamma=90.00
Closest atoms and distances in Å follow each position.
Sites, in units of the cell vectors:
Au: 0.2500 0.7500 0.5000  4 Na 3.19, 4 K 3.35
Au: 0.0000 0.0000 0.0000  4 Na 3.19, 4 K 3.35
Na: 0.3294 0.8750 0.2500  2 Na 3.06, 2 Au 3.19, 2 K 3.35
Na: 0.1250 0.0794 0.7500  2 Na 3.06, 2 Au 3.19, 2 K 3.35
Na: 0.6250 0.6706 0.7500  2 Na 3.06, 2 Au 3.19, 2 K 3.35
Na: 0.9206 0.3750 0.2500  2 Na 3.06, 2 Au 3.19, 2 K 3.35
K: 0.7500 0.2500 0.5000  4 Na 3.35, 4 Au 3.35
K: 0.5000 0.5000 0.0000  4 Na 3.35, 4 Au 3.35

Output
E_form	9	kJ/mol of formula units
ΔE to the lowest computed polymorph	75	meV per atom
symmetry	I-42d, No. 122

***

# BeFe2Ir

A geometry-optimized BeFe2Ir structure (GGA-PBEsol, Alexandria).

Unit cell a=2.7906 b=2.7906 c=5.4869 alpha=90.00 beta=90.00 gamma=90.00
Closest atoms and distances in Å follow each position.
Sites, in units of the cell vectors:
Fe: 0.0000 0.0000 0.9910  4 Be 2.33, 4 Fe 2.34, 1 Ir 2.57
Fe: 0.5000 0.5000 0.2217  4 Fe 2.34, 1 Be 2.51, 4 Ir 2.57
Be: 0.5000 0.5000 0.7645  5 Fe 2.33-2.51, 4 Ir 2.38
Ir: 0.0000 0.0000 0.5227  4 Be 2.38, 5 Fe 2.57

Output
E_form	-59	kJ/mol of formula units
symmetry	P4mm, No. 99

***

# LiCaBO3

A geometry-optimized LiCaBO3 structure (GGA-PBEsol, Alexandria).

Unit cell a=6.0327 b=6.0817 c=7.8768 alpha=112.71 beta=112.52 gamma=90.00
Closest atoms and distances in Å follow each position.
Sites, in units of the cell vectors:
Li: 0.7500 0.5285 0.0000  4 O 2.02-2.21
Li: 0.2500 0.9715 0.0000  4 O 2.02-2.21
Li: 0.2500 0.4715 0.0000  4 O 2.02-2.21
Li: 0.7500 0.0285 0.0000  4 O 2.02-2.21
O: 0.4974 0.7474 0.9948  1 B 1.38
O: 0.7034 0.4572 0.6904  1 B 1.39
O: 0.2967 0.5428 0.3096  1 B 1.39
O: 0.5130 0.0428 0.3096  1 B 1.39
O: 0.2034 0.2332 0.6904  1 B 1.39
O: 0.9974 0.2474 0.9948  1 B 1.38
O: 0.4870 0.9572 0.6904  1 B 1.39
O: 0.9870 0.7332 0.6904  1 B 1.39
O: 0.0026 0.7526 0.0052  1 B 1.38
O: 0.7966 0.7668 0.3096  1 B 1.39
O: 0.0130 0.2668 0.3096  1 B 1.39
O: 0.5026 0.2526 0.0052  1 B 1.38
B: 0.3985 0.1485 0.7969  3 O 1.38-1.39
B: 0.8985 0.6485 0.7969  3 O 1.38-1.39
B: 0.6015 0.8515 0.2031  3 O 1.38-1.39
B: 0.1015 0.3515 0.2031  3 O 1.38-1.39
Ca: 0.8194 0.0694 0.6387  7 O 2.34-2.48
Ca: 0.3194 0.5694 0.6387  7 O 2.34-2.48
Ca: 0.6806 0.4306 0.3613  7 O 2.34-2.48
Ca: 0.1806 0.9306 0.3613  7 O 2.34-2.48

Output
ΔE_f (raw)	-2.691	eV/atom
symmetry	Ibca, No. 73

***

# Zr2CuAu

A geometry-optimized Zr2CuAu structure (GGA-PBEsol, Alexandria).

Unit cell a=3.3805 b=3.3805 c=6.3449 alpha=90.00 beta=90.00 gamma=90.00
Closest atoms and distances in Å follow each position.
Sites, in units of the cell vectors:
Cu: 0.5000 0.5000 0.7392  4 Au 2.77, 5 Zr 2.79-2.95
Zr: 0.0000 0.0000 0.9674  4 Cu 2.79, 1 Au 2.85, 4 Zr 3.08
Zr: 0.5000 0.5000 0.2746  4 Au 2.85, 1 Cu 2.95, 4 Zr 3.08
Au: 0.0000 0.0000 0.5188  4 Cu 2.77, 5 Zr 2.85

Output
E_form	-136	kJ/mol of formula units
symmetry	P4mm, No. 99

***

# ZnIn2Ag

A geometry-optimized ZnIn2Ag structure (GGA-PBEsol, Alexandria).

Unit cell a=3.7042 b=4.3090 c=5.3724 alpha=90.00 beta=110.17 gamma=90.00
Closest atoms and distances in Å follow each position.
Sites, in units of the cell vectors:
Ag: 0.5482 0.5000 0.0963  2 Zn 2.65, 7 In 2.79-2.94
In: 0.9726 0.0000 0.9453  3 Zn 2.73-2.96, 4 Ag 2.94
In: 0.2719 0.5000 0.5439  3 Ag 2.79-2.92, 4 Zn 2.93
Zn: 0.7017 0.0000 0.4035  2 Ag 2.65, 7 In 2.73-2.96

Output
E_form	4	kJ/mol of formula units
symmetry	Amm2, No. 38

***

# OsPbAu

A geometry-optimized OsPbAu structure (GGA-PBEsol, Alexandria).

Unit cell a=3.2459 b=3.2459 c=5.7303 alpha=106.45 beta=106.45 gamma=90.00
Closest atoms and distances in Å follow each position.
Sites, in units of the cell vectors:
Au: 0.0128 0.0128 0.0255  4 Os 2.79, 4 Pb 3.03
Pb: 0.3239 0.3239 0.6479  4 Os 2.85, 4 Au 3.03
Os: 0.6633 0.6633 0.3266  4 Au 2.79, 4 Pb 2.85

Output
E_form	262	kJ/mol of formula units
symmetry	I4mm, No. 107

***

# Rb3BP2

A geometry-optimized Rb3BP2 structure (GGA-PBEsol, Alexandria).

Unit cell a=6.5810 b=6.5810 c=9.3096 alpha=75.31 beta=75.31 gamma=87.95
Closest atoms and distances in Å follow each position.
Sites, in units of the cell vectors:
Rb: 0.8460 0.1540 0.7500  1 B 3.38, 4 P 3.50-3.53, 2 Rb 3.55
Rb: 0.2432 0.3455 0.9821  2 B 3.16-3.37, 1 P 3.39
Rb: 0.1540 0.8460 0.2500  1 B 3.38, 4 P 3.50-3.53, 2 Rb 3.55
Rb: 0.3455 0.2432 0.4821  2 B 3.16-3.37, 1 P 3.39
Rb: 0.7568 0.6545 0.0179  2 B 3.16-3.37, 1 P 3.39
Rb: 0.6545 0.7568 0.5179  2 B 3.16-3.37, 1 P 3.39
P: 0.9046 0.3444 0.3549  1 B 1.78
P: 0.0954 0.6556 0.6451  1 B 1.78
P: 0.3444 0.9046 0.8549  1 B 1.78
P: 0.6556 0.0954 0.1451  1 B 1.78
B: 0.2164 0.7836 0.7500  2 P 1.78
B: 0.7836 0.2164 0.2500  2 P 1.78

Output
E_form	-202	kJ/mol of formula units
symmetry	C2/c, No. 15